No. 1
VASP calculation (PBE) on a geometry-optimized Cs6RbAu2 structure.

Calculated values
- Calculated total energy: -27.795 eV per cell
- ΔH_f (0 K): -139 meV/atom
- Total magnetic moment: 0.000 μB/cell
- Calculated volume: 1364.1 Å³ per cell

Cell lengths 12.1250, 12.1250, 12.1250 Å; angles 112.39, 104.36, 111.78 degrees
Sites, in units of the cell vectors:
Rb 0.0000 0.5000 0.5000
Cs 0.7565 0.2059 0.9624
Au 0.4015 0.0000 0.4015
Cs 0.5151 0.6780 0.8370
Cs 0.4849 0.3220 0.1630
Cs 0.2435 0.7941 0.0376
Cs 0.7565 0.7941 0.5505
Au 0.5000 0.6093 0.1093
Au 0.5985 0.0000 0.5985
Cs 0.8410 0.6780 0.1630
Cs 0.3204 0.6461 0.3257
Cs 0.6796 0.0053 0.3257
Rb 0.0000 0.0000 0.0000
Au 0.5000 0.3907 0.8907
Cs 0.6796 0.3539 0.6743
Cs 0.3204 0.9947 0.6743
Cs 0.1590 0.3220 0.8370
Cs 0.2435 0.2059 0.4495

No. 2
VASP calculation (PBE) on a geometry-optimized YSbS4 structure.

Calculated values
- Calculated total energy: -63.701 eV per cell
- Total magnetic moment: 0.000 μB/cell
- Calculated volume: 276.6 Å³ per cell
- Energy relative to the elements, uncorrected: -0.792 eV per atom

Cell lengths 6.6005, 6.8626, 7.3088 Å; angles 108.23, 116.84, 90.00 degrees
Sites, in units of the cell vectors:
S 0.5547 0.5221 0.1826
Sb 0.0000 0.0000 0.5000
Y 0.7890 0.2500 0.0000
S 0.8143 0.8575 0.7096
Y 0.2110 0.7500 0.0000
Sb 0.5000 0.5000 0.5000
S 0.4453 0.4779 0.8174
S 0.6279 0.0221 0.1826
S 0.1857 0.1425 0.2904
S 0.3721 0.9779 0.8174
S 0.8952 0.3575 0.7096
S 0.1048 0.6425 0.2904

No. 3
VASP calculation (PBE) on a geometry-optimized Cd4In2Pb structure.

Calculated values
- Calculated total energy: -12.394 eV per cell
- ΔH_f (0 K): 64 meV/atom
- Total magnetic moment: 0.000 μB/cell
- Calculated volume: 183.0 Å³ per cell

Cell lengths 3.2845, 3.2845, 19.6748 Å; angles 85.21, 85.21, 60.00 degrees
Sites, in units of the cell vectors:
Cd 0.1455 0.1455 0.5635
Pb 0.0000 0.0000 0.0000
Cd 0.7162 0.7162 0.8515
In 0.2326 0.2326 0.3023
Cd 0.2838 0.2838 0.1485
Cd 0.8545 0.8545 0.4365
In 0.7674 0.7674 0.6977

No. 4
VASP calculation (PBE) on a geometry-optimized FeHg3Pb structure.

Calculated values
- Calculated total energy: -11.113 eV per cell
- ΔH_f (0 K): 393 meV/atom
- Total magnetic moment: 2.292 μB/cell
- Calculated volume: 132.9 Å³ per cell

Cell lengths 5.1026, 5.1026, 5.1026 Å; angles 90.00, 90.00, 90.00 degrees
Last column: magnetic moment on the atom in μB.
Sites, in units of the cell vectors:
Hg 0.0000 0.0000 0.5000  0.00
Fe 0.0000 0.0000 0.0000  2.49
Hg 0.5000 0.0000 0.0000  -0.06
Pb 0.5000 0.5000 0.5000  -0.04
Hg 0.0000 0.5000 0.0000  -0.03

No. 5
VASP calculation (PBE) on a geometry-optimized SmSc4Se5 structure.

Calculated values
- Calculated total energy: -63.596 eV per cell
- Total magnetic moment: 0.000 μB/cell
- Calculated volume: 216.5 Å³ per cell
- Energy relative to the elements, uncorrected: -1.613 eV per atom

Cell lengths 3.9162, 5.5913, 10.4611 Å; angles 105.50, 100.79, 90.00 degrees
Sites, in units of the cell vectors:
Sm 0.0000 0.0000 0.0000
Se 0.0000 0.5000 0.0000
Se 0.8023 0.3023 0.6046
Sc 0.7950 0.7950 0.5901
Sc 0.4012 0.4012 0.8024
Se 0.3905 0.8905 0.7811
Se 0.1977 0.6977 0.3954
Se 0.6095 0.1095 0.2189
Sc 0.2050 0.2050 0.4099
Sc 0.5988 0.5988 0.1976

No. 6
VASP calculation (PBE) on a geometry-optimized DyNiHgPt structure.

Calculated values
- Calculated total energy: -18.665 eV per cell
- ΔH_f (0 K): -485 meV/atom
- Total magnetic moment: 0.000 μB/cell
- Calculated volume: 74.4 Å³ per cell

Cell lengths 4.7220, 4.7220, 4.7220 Å; angles 60.00, 60.00, 60.00 degrees
Sites, in units of the cell vectors:
Hg 0.7500 0.7500 0.7500
Dy 0.2500 0.2500 0.2500
Ni 0.5000 0.5000 0.5000
Pt 0.0000 0.0000 0.0000

Please write out number 6 again, unchanged.
VASP calculation (PBE) on a geometry-optimized DyNiHgPt structure.

Calculated values
- Calculated total energy: -18.665 eV per cell
- ΔH_f (0 K): -485 meV/atom
- Total magnetic moment: 0.000 μB/cell
- Calculated volume: 74.4 Å³ per cell

Cell lengths 4.7220, 4.7220, 4.7220 Å; angles 60.00, 60.00, 60.00 degrees
Sites, in units of the cell vectors:
Hg 0.7500 0.7500 0.7500
Dy 0.2500 0.2500 0.2500
Ni 0.5000 0.5000 0.5000
Pt 0.0000 0.0000 0.0000

Question: Which value of total magnetic moment does entry 6 give?
Answer: 0.000 μB/cell

Question: Which value of total magnetic moment does entry 2 give?
Answer: 0.000 μB/cell